No. 1
# PBE Pr3CdIn2AgIr2, optimized geometry
# DFT total energy ... -91.961 eV for the cell shown
# Magnetic moment ... 0.00 Bohr magnetons per cell
data_Pr3CdIn2AgIr2
_chemical_formula_sum 'Pr6 Cd2 In4 Ag2 Ir4'
_cell_length_a 4.112
_cell_length_b 13.402
_cell_length_c 7.759
_cell_angle_alpha 90.00
_cell_angle_beta 90.00
_cell_angle_gamma 90.00
_symmetry_space_group_name_H-M 'A m m 2'
_symmetry_Int_Tables_number 38
loop_
_symmetry_equiv_pos_as_xyz
'x,y,z'
'-x,-y,z'
'-x,y,z'
'x,-y,z'
'x,y+1/2,z+1/2'
'-x,-y+1/2,z+1/2'
'-x,y+1/2,z+1/2'
'x,-y+1/2,z+1/2'
loop_
_atom_site_label
_atom_site_type_symbol
_atom_site_fract_x
_atom_site_fract_y
_atom_site_fract_z
Pr1 Pr 0.000 0.000 0.000
Pr2 Pr 0.000 0.208 0.626
Cd1 Cd 0.500 0.000 0.677
In1 In 0.500 0.129 0.289
Ag1 Ag 0.000 0.000 0.417
Ir1 Ir 0.500 0.170 0.923

No. 2
# PBE TbPrCuSi3, optimized geometry
# Magnetic moment ... 0.02 Bohr magnetons per cell
# Distance to the lowest polymorph of the same formula ... 0 meV/atom
data_TbPrCuSi3
_chemical_formula_sum 'Tb8 Pr8 Cu8 Si24'
_cell_length_a 8.074
_cell_length_b 8.365
_cell_length_c 13.967
_cell_angle_alpha 90.00
_cell_angle_beta 90.00
_cell_angle_gamma 90.00
_symmetry_space_group_name_H-M 'F m m m'
_symmetry_Int_Tables_number 69
_symmetry_space_group_name_Hall '-F 2 2'
loop_
_atom_site_label
_atom_site_type_symbol
_atom_site_fract_x
_atom_site_fract_y
_atom_site_fract_z
Tb1 Tb 0.250 0.250 0.250
Pr1 Pr 0.000 0.244 0.000
Cu1 Cu 0.000 0.000 0.332
Si1 Si 0.000 0.000 0.170
Si2 Si 0.245 0.000 0.414

No. 3
# PBE FeCuReAs, optimized geometry
# Magnetic moment ... 8.08 Bohr magnetons per cell
# Distance to the lowest polymorph of the same formula ... 0 meV/atom
data_FeCuReAs
_chemical_formula_sum 'Fe4 Cu4 Re4 As4'
_cell_length_a 5.933
_cell_length_b 5.933
_cell_length_c 5.933
_cell_angle_alpha 90.00
_cell_angle_beta 90.00
_cell_angle_gamma 90.00
_symmetry_space_group_name_H-M 'F -4 3 m'
_symmetry_Int_Tables_number 216
_symmetry_space_group_name_Hall 'F -4 2 3'
loop_
_atom_site_label
_atom_site_type_symbol
_atom_site_fract_x
_atom_site_fract_y
_atom_site_fract_z
Fe1 Fe 0.000 0.000 0.000
Cu1 Cu 0.250 0.250 0.250
Re1 Re 0.000 0.000 0.500
As1 As 0.250 0.250 0.750

No. 4
# PBE LaSmB, optimized geometry
# Magnetic moment ... 0.19 Bohr magnetons per cell
# Distance to the lowest polymorph of the same formula ... 0 meV/atom
data_LaSmB
_chemical_formula_sum 'La4 Sm4 B4'
_cell_length_a 6.624
_cell_length_b 6.624
_cell_length_c 6.624
_cell_angle_alpha 90.00
_cell_angle_beta 90.00
_cell_angle_gamma 90.00
_symmetry_space_group_name_H-M 'F -4 3 m'
_symmetry_Int_Tables_number 216
_symmetry_space_group_name_Hall 'F -4 2 3'
loop_
_atom_site_label
_atom_site_type_symbol
_atom_site_fract_x
_atom_site_fract_y
_atom_site_fract_z
La1 La 0.000 0.000 0.000
Sm1 Sm 0.000 0.000 0.500
B1 B 0.250 0.250 0.250

No. 5
# PBE YCoSbIr, optimized geometry
# Magnetic moment ... 7.90 Bohr magnetons per cell
# Distance to the lowest polymorph of the same formula ... 0 meV/atom
data_YCoSbIr
_chemical_formula_sum 'Y4 Co4 Sb4 Ir4'
_cell_length_a 6.607
_cell_length_b 6.607
_cell_length_c 6.607
_cell_angle_alpha 90.00
_cell_angle_beta 90.00
_cell_angle_gamma 90.00
_symmetry_space_group_name_H-M 'F -4 3 m'
_symmetry_Int_Tables_number 216
_symmetry_space_group_name_Hall 'F -4 2 3'
loop_
_atom_site_label
_atom_site_type_symbol
_atom_site_fract_x
_atom_site_fract_y
_atom_site_fract_z
Y1 Y 0.000 0.000 0.000
Co1 Co 0.250 0.250 0.750
Sb1 Sb 0.000 0.000 0.500
Ir1 Ir 0.250 0.250 0.250

No. 6
# PBE FeAgSnAu, optimized geometry
# Magnetic moment ... 10.52 Bohr magnetons per cell
# Distance to the lowest polymorph of the same formula ... 0 meV/atom
data_FeAgSnAu
_chemical_formula_sum 'Fe4 Ag4 Sn4 Au4'
_cell_length_a 6.586
_cell_length_b 6.586
_cell_length_c 6.586
_cell_angle_alpha 90.00
_cell_angle_beta 90.00
_cell_angle_gamma 90.00
_symmetry_space_group_name_H-M 'F -4 3 m'
_symmetry_Int_Tables_number 216
_symmetry_space_group_name_Hall 'F -4 2 3'
loop_
_atom_site_label
_atom_site_type_symbol
_atom_site_fract_x
_atom_site_fract_y
_atom_site_fract_z
Fe1 Fe 0.000 0.000 0.000
Ag1 Ag 0.000 0.000 0.500
Sn1 Sn 0.250 0.250 0.750
Au1 Au 0.250 0.250 0.250

No. 7
# PBE NdSnAsPd2, optimized geometry
# DFT total energy ... -55.722 eV for the cell shown
# Magnetic moment ... 0.00 Bohr magnetons per cell
data_NdSnAsPd2
_chemical_formula_sum 'Nd2 Sn2 As2 Pd4'
_cell_length_a 4.566
_cell_length_b 4.566
_cell_length_c 10.173
_cell_angle_alpha 90.00
_cell_angle_beta 90.00
_cell_angle_gamma 90.00
_symmetry_space_group_name_H-M 'P 4/n m m'
_symmetry_Int_Tables_number 129
loop_
_symmetry_equiv_pos_as_xyz
'x,y,z'
'-x,-y,-z'
'-y+1/2,x,z'
'y+1/2,-x,-z'
'-x+1/2,-y+1/2,z'
'x+1/2,y+1/2,-z'
'y,-x+1/2,z'
'-y,x+1/2,-z'
'x+1/2,-y,-z'
'-x+1/2,y,z'
'-y,-x,-z'
'y,x,z'
'-x,y+1/2,-z'
'x,-y+1/2,z'
'y+1/2,x+1/2,-z'
'-y+1/2,-x+1/2,z'
loop_
_atom_site_label
_atom_site_type_symbol
_atom_site_fract_x
_atom_site_fract_y
_atom_site_fract_z
Nd1 Nd 0.250 0.250 0.234
Sn1 Sn 0.250 0.250 0.636
As1 As 0.250 0.750 0.000
Pd1 Pd 0.250 0.250 0.894
Pd2 Pd 0.250 0.750 0.500

No. 8
# PBE DyH23C19N4O6, optimized geometry
# DFT total energy ... -682.500 eV for the cell shown
# Magnetic moment ... 0.00 Bohr magnetons per cell
data_DyH23C19N4O6
_chemical_formula_sum 'Dy2 H46 C38 N8 O12'
_cell_length_a 9.013
_cell_length_b 10.566
_cell_length_c 10.770
_cell_angle_alpha 109.83
_cell_angle_beta 100.46
_cell_angle_gamma 90.84
_symmetry_space_group_name_H-M 'P -1'
_symmetry_Int_Tables_number 2
loop_
_symmetry_equiv_pos_as_xyz
'x,y,z'
'-x,-y,-z'
loop_
_atom_site_label
_atom_site_type_symbol
_atom_site_fract_x
_atom_site_fract_y
_atom_site_fract_z
Dy1 Dy 0.022 0.105 0.198
H1 H 0.032 0.670 0.043
H2 H 0.051 0.384 0.131
H3 H 0.057 0.696 0.362
H4 H 0.096 0.527 0.353
H5 H 0.120 0.446 0.915
H6 H 0.147 0.511 0.588
H7 H 0.159 0.835 0.027
H8 H 0.174 0.110 0.579
H9 H 0.190 0.520 0.811
H10 H 0.258 0.389 0.639
H11 H 0.274 0.572 0.986
H12 H 0.279 0.700 0.770
H13 H 0.310 0.431 0.275
H14 H 0.318 0.465 0.531
H15 H 0.328 0.175 0.894
H16 H 0.391 0.342 0.855
H17 H 0.404 0.999 0.534
H18 H 0.418 0.049 0.943
H19 H 0.423 0.185 0.453
H20 H 0.434 0.845 0.183
H21 H 0.462 0.551 0.817
H22 H 0.465 0.223 0.048
H23 H 0.493 0.340 0.337
C1 C 0.057 0.648 0.941
C2 C 0.135 0.315 0.436
C3 C 0.155 0.046 0.636
C4 C 0.167 0.541 0.912
C5 C 0.172 0.850 0.257
C6 C 0.218 0.427 0.557
C7 C 0.246 0.631 0.291
C8 C 0.249 0.137 0.052
C9 C 0.255 0.943 0.644
C10 C 0.278 0.746 0.256
C11 C 0.311 0.763 0.715
C12 C 0.341 0.524 0.260
C13 C 0.374 0.148 0.982
C14 C 0.382 0.929 0.585
C15 C 0.411 0.755 0.207
C16 C 0.438 0.741 0.656
C17 C 0.468 0.534 0.208
C18 C 0.476 0.827 0.591
C19 C 0.493 0.348 0.816
N1 N 0.039 0.055 0.694
N2 N 0.056 0.851 0.320
N3 N 0.128 0.619 0.349
N4 N 0.220 0.861 0.710
O1 O 0.046 0.343 0.343
O2 O 0.115 0.773 0.933
O3 O 0.133 0.052 0.986
O4 O 0.157 0.193 0.423
O5 O 0.188 0.932 0.192
O6 O 0.253 0.206 0.174